[1]
NaTmSO (PBE, optimized geometry); density = 5.8 g/cm3; total magnetic moment = 0.0 μB/f.u.; symmetry = P4/nmm (129); polymorph energy (0 for the lowest one) = 10.7 kJ per mole of atoms
1.0
-2.148 -0.281 3.210
-1.506 -3.322 -1.299
6.733 -4.654 4.097
O S Tm Na
2 2 2 2
Cartesian
-1.987 -1.041 2.083
-1.667 -2.562 -0.172
3.831 -4.181 3.365
-0.752 -4.077 2.643
-0.131 -1.442 0.954
3.210 -6.816 5.054
1.379 -3.369 4.131
1.700 -4.889 1.877

***

[2]
TbTm2In3Co3 (PBE, optimized geometry); density = 9.5 g/cm3; total magnetic moment = 0.0 μB/f.u.; symmetry = Amm2 (38); VASP energy = -5.08 eV per atom
1.0
3.810 0.000 0.000
0.000 6.349 3.669
0.000 -6.349 3.669
Co In Tb Tm
3 3 1 2
Cartesian
1.905 -2.132 3.671
0.000 0.000 7.329
1.905 2.132 3.671
1.905 4.716 4.598
1.905 -4.716 4.598
1.905 0.000 5.475
0.000 0.000 3.000
0.000 -2.583 5.842
0.000 2.583 5.842